! CaAc2NbO6 | Alexandria | PBE | optimized geometry; values from VASP
&SYSTEM
  ibrav = 0, nat = 10, ntyp = 4
/
ATOMIC_SPECIES
Ca 40.08 Ca.upf
Ac 227.00 Ac.upf
Nb 92.91 Nb.upf
O 16.00 O.upf
CELL_PARAMETERS angstrom
5.674 0.000 0.000
0.000 5.674 0.000
0.000 0.000 5.306
ATOMIC_POSITIONS angstrom
Ca 0.000 0.000 0.000
Ac 0.000 2.837 2.300
Ac 2.837 0.000 2.300
Nb 2.837 2.837 0.026
O 0.000 0.000 3.066
O 1.508 1.508 0.843
O 1.508 4.166 0.843
O 2.837 2.837 3.429
O 4.166 1.508 0.843
O 4.166 4.166 0.843
! Raw formation energy (eV per atom): -2.93
! Final energy (eV per atom): -7.931
! Crystal system: tetragonal
! Symmetry: P4mm, No. 99